The following is a PBE-GGA calculation of a relaxed structure of BeSnTeO6, from the Alexandria database.

Calculated values
Symmetry: No. 163
Total moment in Bohr magnetons per cell: 0.00
Uncorrected formation energy in meV/atom: -1450

Structure (POSCAR):
```
BeSnTeO6
1.0
4.906 0.000 0.000
-2.453 4.249 0.000
0.000 0.000 9.037
Be Sn Te O
2 2 2 12
Direct
0.333 0.667 0.250
0.667 0.333 0.750
0.000 0.000 0.000
0.000 0.000 0.500
0.333 0.667 0.750
0.667 0.333 0.250
0.013 0.360 0.134
0.013 0.652 0.366
0.348 0.360 0.366
0.348 0.987 0.134
0.360 0.013 0.634
0.360 0.348 0.866
0.640 0.652 0.134
0.640 0.987 0.366
0.652 0.013 0.866
0.652 0.640 0.634
0.987 0.348 0.634
0.987 0.640 0.866
```